# 1
DFT (PBE) results for crystalline NaLi2MoN at its relaxed geometry.

Geometry as POSCAR:
```
NaLi2MoN
1.0
5.245 0.000 0.000
0.000 5.245 0.000
0.000 0.000 3.887
Na Li Mo N
1 2 1 1
Direct
0.000 0.000 0.000
0.000 0.500 0.500
0.500 0.000 0.500
0.500 0.500 0.500
0.500 0.500 0.000
```

Calculated values
* formation energy from raw total energies: 509 meV/atom
* SG: No. 123

***

# 2
DFT (PBE) results for crystalline MgZrPb2 at its relaxed geometry.

Geometry as POSCAR:
```
MgZrPb2
1.0
-2.287 2.293 4.679
2.287 -2.293 4.679
2.287 2.293 -4.679
Mg Zr Pb
1 1 2
Direct
0.000 0.000 0.000
0.500 0.500 0.000
0.250 0.750 0.500
0.750 0.250 0.500
```

Calculated values
* energy of formation from the pure elements: -0.008 eV/atom
* SG: No. 71

***

# 3
DFT (PBE) results for crystalline CrOsPd at its relaxed geometry.

Geometry as POSCAR:
```
CrOsPd
1.0
2.332 -1.376 0.000
2.332 1.376 0.000
-2.295 0.000 12.981
Cr Os Pd
2 2 2
Direct
0.000 0.000 0.000
0.573 0.573 0.150
0.261 0.261 0.846
0.987 0.987 0.304
0.412 0.412 0.486
0.840 0.840 0.668
```

Calculated values
* energy of formation from the pure elements: 0.107 eV/atom
* energy above the lowest structure with this stoichiometry: 0.00 eV per formula unit
* SG: No. 8

***

# 4
DFT (PBE) results for crystalline Sc3GeRu at its relaxed geometry.

Geometry as POSCAR:
```
Sc3GeRu
1.0
4.921 0.000 0.000
0.000 4.921 0.000
0.000 0.000 4.921
Sc Ge Ru
3 1 1
Direct
0.000 0.000 0.500
0.000 0.500 0.000
0.500 0.000 0.000
0.500 0.500 0.500
0.000 0.000 0.000
```

Calculated values
* energy of formation from the pure elements: -0.081 eV/atom
* energy above the lowest structure with this stoichiometry: 0.00 eV per formula unit
* SG: No. 221

***

These records have N(E_F) values of 0.563, 0.464, 1.171, 0.613 states/eV/atom, in the order they appear.
These records have calculated volume values of 107, 98, 83, 119 Å³/cell, in the order they appear.
These records have raw total energy values of -4.3521, -4.3975, -8.5755, -6.6587 eV/atom, in the order they appear.